Here is a relaxed TiInSe crystal from Alexandria via LeMat-Bulk. Energies are from GGA-PBE.

The value obtained for the calculated volume is 21.5 Å³ per atom. The crystal system is trigonal. As for the raw formation energy: -502 meV/atom.

It has space group P3m1 (No. 156), with a = 3.3939 Å, b = 3.3939 Å, c = 6.4652 Å, α = 90.00°, β = 90.00° and γ = 120.00°. The asymmetric unit holds Ti at (0.0000, 0.0000, 0.0000), In at (0.3333, 0.6667, 0.6593) and Se at (0.6667, 0.3333, 0.2438).